Record 1
{"formula": "BeHgSe2", "functional": "PBE", "state": "optimized geometry", "lattice_angstrom": [[6.080, -1.813, 0.000], [6.080, 1.813, 0.000], [-0.718, 0.000, 5.020]], "species": ["Be", "Hg", "Se", "Se"], "frac_coords": [[0.000, 0.000, 0.000], [0.194, 0.194, 0.909], [0.428, 0.428, 0.736], [0.495, 0.495, 0.280]], "magnetic_moment_mub_per_fu": 0.0, "formation_energy_uncorrected_ev_per_atom": -0.12, "spacegroup": "No. 8", "final_energy_ev_per_atom": -2.87}



Record 2
{"formula": "BeHg2Se", "functional": "PBE", "state": "optimized geometry", "lattice_angstrom": [[1.793, -3.046, 0.000], [1.793, 3.046, 0.000], [0.000, 0.000, 9.329]], "species": ["Be", "Hg", "Hg", "Se"], "frac_coords": [[0.000, 0.000, 0.000], [0.000, 0.000, 0.548], [0.500, 0.500, 0.241], [0.500, 0.500, 0.884]], "magnetic_moment_mub_per_fu": 0.0, "formation_energy_uncorrected_ev_per_atom": 0.06, "spacegroup": "No. 35", "final_energy_ev_per_atom": -1.89}



Record 3
{"formula": "BeHgSe2", "functional": "PBE", "state": "optimized geometry", "lattice_angstrom": [[1.820, -13.139, 0.000], [1.820, 13.139, 0.000], [0.000, 0.000, 4.239]], "species": ["Be", "Be", "Hg", "Hg", "Se", "Se", "Se", "Se"], "frac_coords": [[0.164, 0.836, 0.750], [0.836, 0.164, 0.250], [0.460, 0.540, 0.750], [0.540, 0.460, 0.250], [0.248, 0.752, 0.750], [0.379, 0.621, 0.250], [0.621, 0.379, 0.750], [0.752, 0.248, 0.250]], "magnetic_moment_mub_per_fu": 0.0, "formation_energy_uncorrected_ev_per_atom": -0.20, "spacegroup": "No. 63", "final_energy_ev_per_atom": -2.95}



Record 4
{"formula": "Be2HgSe", "functional": "PBE", "state": "optimized geometry", "lattice_angstrom": [[3.834, -2.935, 0.000], [3.834, 2.935, 0.000], [-1.907, 0.000, 3.383]], "species": ["Be", "Be", "Hg", "Se"], "frac_coords": [[0.000, 0.500, 0.000], [0.500, 0.000, 0.000], [0.000, 0.000, 0.500], [0.500, 0.500, 0.500]], "magnetic_moment_mub_per_fu": 0.0, "formation_energy_uncorrected_ev_per_atom": 0.47, "spacegroup": "No. 12", "final_energy_ev_per_atom": -2.34}



Record 5
{"formula": "BeHg2Se", "functional": "PBE", "state": "optimized geometry", "lattice_angstrom": [[-2.435, 2.435, 3.610], [2.435, -2.435, 3.610], [2.435, 2.435, -3.610]], "species": ["Be", "Hg", "Hg", "Se"], "frac_coords": [[0.000, 0.000, 0.000], [0.250, 0.750, 0.500], [0.500, 0.500, 0.000], [0.750, 0.250, 0.500]], "magnetic_moment_mub_per_fu": 0.0, "formation_energy_uncorrected_ev_per_atom": 0.55, "spacegroup": "No. 119", "final_energy_ev_per_atom": -1.40}



Record 6
{"formula": "BeHgSe2", "functional": "PBE", "state": "optimized geometry", "lattice_angstrom": [[3.491, 0.000, 0.000], [0.000, 3.878, 0.000], [0.000, 0.000, 6.706]], "species": ["Be", "Hg", "Se", "Se"], "frac_coords": [[0.000, 0.000, 0.000], [0.500, 0.500, 0.000], [0.000, 0.500, 0.500], [0.500, 0.000, 0.500]], "magnetic_moment_mub_per_fu": 0.0, "formation_energy_uncorrected_ev_per_atom": 0.49, "spacegroup": "No. 47", "final_energy_ev_per_atom": -2.26}



Record 7
{"formula": "BeHg2Se", "functional": "PBE", "state": "optimized geometry", "lattice_angstrom": [[1.744, -2.985, 0.000], [1.744, 2.985, 0.000], [0.000, 0.000, 8.116]], "species": ["Be", "Hg", "Hg", "Se"], "frac_coords": [[0.000, 0.000, 0.000], [0.500, 0.500, 0.218], [0.500, 0.500, 0.782], [0.000, 0.000, 0.500]], "magnetic_moment_mub_per_fu": 0.0, "formation_energy_uncorrected_ev_per_atom": 0.42, "spacegroup": "No. 65", "final_energy_ev_per_atom": -1.54}



Record 8
{"formula": "BeHgSe2", "functional": "PBE", "state": "optimized geometry", "lattice_angstrom": [[-3.502, 3.502, 3.381], [3.502, -3.502, 3.381], [3.502, 3.502, -3.381]], "species": ["Be", "Be", "Hg", "Hg", "Se", "Se", "Se", "Se"], "frac_coords": [[0.250, 0.250, 0.000], [0.750, 0.750, 0.000], [0.250, 0.750, 0.500], [0.750, 0.250, 0.500], [0.212, 0.712, 0.925], [0.288, 0.212, 0.500], [0.712, 0.788, 0.500], [0.788, 0.288, 0.075]], "magnetic_moment_mub_per_fu": 0.0, "formation_energy_uncorrected_ev_per_atom": 0.50, "spacegroup": "No. 140", "final_energy_ev_per_atom": -2.25}